[1]
Computed, not measured: an optimized crystal structure of Rb3Na8Hg at the GGA-PBE level of DFT.

Results
The energy relative to the elements is 0.16 eV per formula unit. For the raw total energy, the calculation gives -1.1332 eV per atom.

Cell: 7.355 7.355 12.659 Å, 73.11 73.11 60.00°
Fractional positions:
Rb 0.623 0.623 0.130
Rb 0.008 0.008 0.976
Rb 0.494 0.494 0.518
Na 0.563 0.064 0.809
Na 0.060 0.551 0.329
Na 0.563 0.563 0.809
Na 0.060 0.060 0.329
Na 0.810 0.810 0.570
Na 0.311 0.311 0.066
Na 0.064 0.563 0.809
Na 0.551 0.060 0.329
Hg 0.142 0.142 0.575


[2]
Computed, not measured: an optimized crystal structure of BaMg5Cd7 at the GGA-PBE level of DFT.

Results
The energy relative to the elements is -2.13 eV per formula unit. For the raw total energy, the calculation gives -1.4180 eV per atom.

Cell: 6.065 7.822 7.822 Å, 82.03 67.19 67.19°
Fractional positions:
Ba 0.999 0.001 0.001
Mg 0.498 0.003 0.496
Mg 0.003 0.003 0.496
Mg 0.498 0.496 0.003
Mg 0.003 0.496 0.003
Mg 0.727 0.773 0.773
Cd 0.645 0.355 0.355
Cd 0.348 0.652 0.652
Cd 0.998 0.356 0.649
Cd 0.998 0.649 0.356
Cd 0.278 0.222 0.222
Cd 0.503 0.779 0.214
Cd 0.503 0.214 0.779


[3]
Computed, not measured: an optimized crystal structure of Ni2MoPd at the GGA-PBE level of DFT.

Results
The energy relative to the elements is 0.24 eV per formula unit. The value obtained for the distance to the lowest polymorph of the same formula is 0.0814 eV/atom. For the raw total energy, the calculation gives -6.8357 eV per atom.

Cell: 4.205 4.205 4.205 Å, 60.00 60.00 60.00°
Fractional positions:
Ni 0.250 0.250 0.250
Ni 0.750 0.750 0.750
Mo 0.000 0.000 0.000
Pd 0.500 0.500 0.500


[4]
Computed, not measured: an optimized crystal structure of Rb4Dy3SbS8 at the GGA-PBE level of DFT.

Results
As for the uncorrected formation energy: -1560 meV per atom. For the raw total energy, the calculation gives -4.9862 eV per atom.

Cell: 8.191 9.007 8.191 Å, 117.04 120.00 90.00°
Fractional positions:
Rb 0.500 0.000 0.000
Rb 0.500 0.000 0.500
Rb 0.000 0.000 0.000
Rb 0.000 0.000 0.500
Dy 0.500 0.500 0.000
Dy 0.500 0.500 0.500
Dy 0.000 0.500 0.500
Sb 0.000 0.500 0.000
S 0.232 0.692 0.960
S 0.232 0.692 0.463
S 0.269 0.308 0.539
S 0.728 0.692 0.960
S 0.272 0.308 0.040
S 0.731 0.692 0.461
S 0.768 0.308 0.537
S 0.768 0.308 0.040


[5]
Computed, not measured: an optimized crystal structure of Rb3ErPu2Se6 at the GGA-PBE level of DFT.

Results
As for the uncorrected formation energy: -1530 meV per atom. For the raw total energy, the calculation gives -6.2830 eV per atom.

Cell: 7.416 7.416 8.346 Å, 98.53 98.53 119.99°
Each line ends with the local moment (μB).
Fractional positions:
Rb 0.167 0.833 0.500  0.00
Rb 0.833 0.167 0.500  0.00
Rb 0.500 0.500 0.500  0.00
Er 0.000 0.000 0.000  -0.02
Pu 0.333 0.667 0.000  -5.12
Pu 0.667 0.333 0.000  -5.12
Se 0.935 0.606 0.805  0.07
Se 0.736 0.736 0.195  0.07
Se 0.065 0.394 0.195  0.07
Se 0.606 0.935 0.805  0.07
Se 0.264 0.264 0.805  0.07
Se 0.394 0.065 0.195  0.07


[6]
Computed, not measured: an optimized crystal structure of DyZrCS at the GGA-PBE level of DFT.

Results
As for the uncorrected formation energy: -1251 meV per atom. For the raw total energy, the calculation gives -7.8761 eV per atom.

Cell: 3.526 3.526 6.697 Å, 90.00 105.25 120.00°
Fractional positions:
Dy 0.498 0.147 0.659
Zr 0.104 0.950 0.070
C 0.318 0.557 0.891
S 0.958 0.377 0.350


[7]
Computed, not measured: an optimized crystal structure of SmHo6Sc3 at the GGA-PBE level of DFT.

Results
The energy relative to the elements is 0.55 eV per formula unit. The value obtained for the distance to the lowest polymorph of the same formula is 0.0000 eV/atom. For the raw total energy, the calculation gives -5.0625 eV per atom.

Cell: 3.464 13.256 13.054 Å, 98.03 90.02 82.56°
Fractional positions:
Sm 0.143 0.216 0.791
Sm 0.857 0.784 0.209
Ho 0.551 0.406 0.374
Ho 0.449 0.594 0.626
Ho 0.301 0.896 0.025
Ho 0.699 0.104 0.975
Ho 0.843 0.814 0.580
Ho 0.157 0.186 0.420
Ho 0.416 0.664 0.381
Ho 0.584 0.336 0.619
Ho 0.435 0.630 0.006
Ho 0.565 0.370 0.994
Ho 0.126 0.253 0.179
Ho 0.874 0.747 0.821
Sc 0.716 0.067 0.598
Sc 0.284 0.933 0.402
Sc 0.993 0.514 0.189
Sc 0.007 0.486 0.811
Sc 0.271 0.959 0.775
Sc 0.729 0.041 0.225


[8]
Computed, not measured: an optimized crystal structure of ZrGaSb2 at the GGA-PBE level of DFT.

Results
As for the uncorrected formation energy: -193 meV per atom. For the raw total energy, the calculation gives -5.1480 eV per atom.

Cell: 3.867 3.867 8.349 Å, 76.61 76.61 60.00°
Fractional positions:
Zr 0.667 0.667 0.000
Ga 0.500 0.500 0.499
Sb 0.079 0.079 0.762
Sb 0.254 0.254 0.239


Number 5 is which compound?
Rb3ErPu2Se6


Please write out number 8 again, unchanged.
Computed, not measured: an optimized crystal structure of ZrGaSb2 at the GGA-PBE level of DFT.

Results
As for the uncorrected formation energy: -193 meV per atom. For the raw total energy, the calculation gives -5.1480 eV per atom.

Cell: 3.867 3.867 8.349 Å, 76.61 76.61 60.00°
Fractional positions:
Zr 0.667 0.667 0.000
Ga 0.500 0.500 0.499
Sb 0.079 0.079 0.762
Sb 0.254 0.254 0.239


Which of these has the highest raw total energy?
Rb3Na8Hg


Among the records above, which one has the lowest raw total energy?
DyZrCS